No. 1
First-principles (PBE) data for a relaxed structure of Ir7C, as listed in Alexandria via LeMat-Bulk. Values from VASP.

Spin magnetization ... 0.0 μB per formula unit
Theoretical density ... 20.0 g/cm3
Calculated total energy ... -65.66 eV/f.u.

The structure in Quantum ESPRESSO input format:
```
&SYSTEM
  ibrav = 0, nat = 8, ntyp = 2
/
ATOMIC_SPECIES
Ir 192.22 Ir.upf
C 12.01 C.upf
CELL_PARAMETERS angstrom
0.000 3.832 3.832
3.832 0.000 3.832
3.832 3.832 0.000
ATOMIC_POSITIONS angstrom
Ir 0.000 0.000 0.000
Ir 1.916 1.916 0.000
Ir 1.916 0.000 1.916
Ir 3.832 1.916 1.916
Ir 0.000 1.916 1.916
Ir 1.916 3.832 1.916
Ir 1.916 1.916 3.832
C 3.832 3.832 3.832
```



No. 2
First-principles (PBE) data for a relaxed structure of USbO, as listed in Alexandria via LeMat-Bulk. Values from VASP.

Relative energy among the computed polymorphs ... 0.091 eV/atom
Spin magnetization ... 2.6 μB per formula unit
Theoretical density ... 9.5 g/cm3

The structure in Quantum ESPRESSO input format:
```
&SYSTEM
  ibrav = 0, nat = 6, ntyp = 3
/
ATOMIC_SPECIES
U 238.03 U.upf
Sb 121.76 Sb.upf
O 16.00 O.upf
CELL_PARAMETERS angstrom
3.841 0.000 0.000
-1.920 3.326 0.000
0.000 0.000 10.235
ATOMIC_POSITIONS angstrom
U 0.000 2.218 3.618
U 1.920 1.109 6.617
Sb 0.000 0.000 1.392
Sb 0.000 0.000 8.843
O 0.000 2.218 6.003
O 1.920 1.109 4.232
```



No. 3
First-principles (PBE) data for a relaxed structure of Tb6PmSc2, as listed in Alexandria via LeMat-Bulk. Values from VASP.

Relative energy among the computed polymorphs ... 0.064 eV/atom
Spin magnetization ... 0.0 μB per formula unit
Theoretical density ... 7.1 g/cm3

The structure in Quantum ESPRESSO input format:
```
&SYSTEM
  ibrav = 0, nat = 18, ntyp = 3
/
ATOMIC_SPECIES
Tb 158.93 Tb.upf
Pm 145.00 Pm.upf
Sc 44.96 Sc.upf
CELL_PARAMETERS angstrom
5.275 -4.924 0.000
5.275 4.924 0.000
-5.228 0.000 10.723
ATOMIC_POSITIONS angstrom
Tb 1.929 3.836 6.481
Tb 0.779 3.836 9.604
Tb -1.295 1.436 9.994
Tb 0.141 0.467 6.943
Tb 2.755 -0.467 1.581
Tb 1.319 -1.436 4.632
Tb 4.003 1.436 6.091
Tb 2.567 0.467 9.142
Tb 5.181 -0.467 3.781
Tb 6.617 -1.436 0.729
Tb 4.543 -3.836 1.119
Tb 3.393 -3.836 4.242
Pm 3.968 2.907 2.681
Pm 1.354 -2.907 8.043
Sc 1.323 1.620 3.867
Sc -1.291 -1.620 9.229
Sc 6.613 1.620 1.495
Sc 3.999 -1.620 6.857
```



No. 4
First-principles (PBE) data for a relaxed structure of Tb6NdDy4, as listed in Alexandria via LeMat-Bulk. Values from VASP.

Relative energy among the computed polymorphs ... 0.299 eV/atom
Spin magnetization ... 0.0 μB per formula unit
Theoretical density ... 7.6 g/cm3

The structure in Quantum ESPRESSO input format:
```
&SYSTEM
  ibrav = 0, nat = 11, ntyp = 3
/
ATOMIC_SPECIES
Tb 158.93 Tb.upf
Nd 144.24 Nd.upf
Dy 162.50 Dy.upf
CELL_PARAMETERS angstrom
-3.807 3.807 6.568
3.807 -3.807 6.568
3.807 3.807 -6.568
ATOMIC_POSITIONS angstrom
Tb 3.807 0.000 0.000
Tb 1.973 -1.973 4.114
Tb 1.834 1.834 2.454
Tb 0.000 3.807 0.000
Tb -1.973 1.973 4.114
Tb 1.973 1.973 9.023
Nd 0.000 0.000 0.000
Dy 2.549 2.549 -1.017
Dy 1.258 -1.258 7.585
Dy 1.258 1.258 5.551
Dy -1.258 1.258 7.585
```



No. 5
First-principles (PBE) data for a relaxed structure of NdAgS, as listed in Alexandria via LeMat-Bulk. Values from VASP.

Spin magnetization ... 0.0 μB per formula unit
Theoretical density ... 6.2 g/cm3
Calculated total energy ... -15.15 eV/f.u.

The structure in Quantum ESPRESSO input format:
```
&SYSTEM
  ibrav = 0, nat = 6, ntyp = 3
/
ATOMIC_SPECIES
Nd 144.24 Nd.upf
Ag 107.87 Ag.upf
S 32.06 S.upf
CELL_PARAMETERS angstrom
2.357 1.361 7.908
-2.357 1.361 7.908
0.000 -2.721 7.908
ATOMIC_POSITIONS angstrom
Nd 0.000 0.000 2.134
Nd 0.000 0.000 21.591
Ag 0.000 0.000 7.864
Ag 0.000 0.000 15.861
S 0.000 0.000 5.033
S 0.000 0.000 18.693
```



No. 6
First-principles (PBE) data for a relaxed structure of DySc4Ga5, as listed in Alexandria via LeMat-Bulk. Values from VASP.

Spin magnetization ... 0.0 μB per formula unit
Theoretical density ... 5.8 g/cm3
Calculated total energy ... -50.95 eV/f.u.

The structure in Quantum ESPRESSO input format:
```
&SYSTEM
  ibrav = 0, nat = 10, ntyp = 3
/
ATOMIC_SPECIES
Dy 162.50 Dy.upf
Sc 44.96 Sc.upf
Ga 69.72 Ga.upf
CELL_PARAMETERS angstrom
3.406 0.000 0.000
0.000 3.406 0.000
0.000 0.000 16.945
ATOMIC_POSITIONS angstrom
Dy 0.000 0.000 0.000
Sc 0.000 0.000 3.542
Sc 0.000 0.000 6.831
Sc 0.000 0.000 10.113
Sc 0.000 0.000 13.402
Ga 1.703 1.703 1.914
Ga 1.703 1.703 5.191
Ga 1.703 1.703 8.472
Ga 1.703 1.703 11.754
Ga 1.703 1.703 15.031
```



> The highest theoretical density belongs to which entry?

Ir7C